Computed, not measured: a relaxed Cs2SrGaBi crystal at the GGA-PBE level of DFT.

The structure in extended XYZ format:
```
5
Lattice="7.3470 0.0000 0.0000 0.0000 7.3470 0.0000 0.0000 0.0000 5.7787" Properties=species:S:1:pos:R:3 pbc="T T T"
Cs 0.0000 3.6735 0.0000
Cs 3.6735 0.0000 0.0000
Sr 0.0000 0.0000 0.0000
Ga 0.0000 0.0000 2.8894
Bi 3.6735 3.6735 2.8894
```

Calculated values
M_tot (μB/cell): 0.45
Formation enthalpy at 0 K (meV per atom): 554.6
Theoretical density (Mg/m³): 3.4
E_tot (eV per atom): -1.505
Space group: P4/mmm


Computed, not measured: a relaxed U2MnBe4Si3 crystal at the GGA-PBE level of DFT.

The structure in extended XYZ format:
```
10
Lattice="3.8145 0.0000 0.0000 0.0000 3.8145 0.0000 0.0000 0.0000 9.5837" Properties=species:S:1:pos:R:3 pbc="T T T"
U 0.0000 1.9072 2.3848
U 1.9072 0.0000 7.1988
Mn 1.9072 1.9072 0.0000
Be 0.0000 0.0000 4.7918
Be 0.0000 1.9072 8.3045
Be 1.9072 0.0000 1.2792
Be 1.9072 1.9072 4.7918
Si 0.0000 0.0000 0.0000
Si 0.0000 1.9072 6.0669
Si 1.9072 0.0000 3.5167
```

Calculated values
M_tot (μB/cell): 2.23
Theoretical density (Mg/m³): 7.8
E_form (uncorrected) (eV/atom): -0.191
E_tot (eV per atom): -6.483
Space group: P-4m2


Computed, not measured: a relaxed NbAgIr2 crystal at the GGA-PBE level of DFT.

The structure in extended XYZ format:
```
16
Lattice="7.1998 0.0000 0.0000 0.0000 7.1998 0.0000 0.0000 0.0000 5.5758" Properties=species:S:1:pos:R:3 pbc="T T T"
Nb 0.0000 0.0000 0.0000
Nb 0.0000 3.5999 1.3940
Nb 3.5999 0.0000 4.1819
Nb 3.5999 3.5999 2.7879
Ag 0.0000 0.0000 2.7879
Ag 0.0000 3.5999 4.1819
Ag 3.5999 0.0000 1.3940
Ag 3.5999 3.5999 0.0000
Ir 1.5743 1.8000 0.6970
Ir 1.8000 5.1742 2.0909
Ir 1.8000 5.6256 4.8789
Ir 2.0257 1.8000 3.4849
Ir 5.1742 5.3999 3.4849
Ir 5.3999 1.5743 4.8789
Ir 5.3999 2.0257 2.0909
Ir 5.6256 5.3999 0.6970
```

Calculated values
M_tot (μB/cell): 0.00
Formation enthalpy at 0 K (meV per atom): 313.0
Theoretical density (Mg/m³): 13.4
E_tot (eV per atom): -7.348
Space group: I-42d
Energy above the lowest structure with this stoichiometry (eV/f.u.): 1.48


Computed, not measured: a relaxed Sc6Sb3P crystal at the GGA-PBE level of DFT.

The structure in extended XYZ format:
```
20
Lattice="5.5010 -6.7101 0.0000 5.5010 6.7101 0.0000 0.0000 0.0000 6.8860" Properties=species:S:1:pos:R:3 pbc="T T T"
Sc 5.5010 6.5740 3.4430
Sc 3.7745 3.3403 3.9431
Sc 5.5010 3.4840 0.6176
Sc 3.7494 0.5768 0.4964
Sc 3.7494 -0.5768 3.9394
Sc 7.2276 3.3403 3.9431
Sc 3.7745 -3.3403 0.5002
Sc 7.2526 0.5768 0.4964
Sc 7.2526 -0.5768 3.9394
Sc 5.5010 -3.4840 4.0606
Sc 7.2276 -3.3403 0.5002
Sc 5.5010 -6.5740 0.0000
Sb 2.0366 1.3976 5.2053
Sb 2.0366 -1.3976 1.7623
Sb 5.5010 1.3809 2.6596
Sb 5.5010 -1.3809 6.1026
Sb 8.9654 1.3976 5.2053
Sb 8.9654 -1.3976 1.7623
P 5.5010 4.7159 5.2824
P 5.5010 -4.7159 1.8394
```

Calculated values
M_tot (μB/cell): 2.23
Theoretical density (Mg/m³): 4.4
E_form (uncorrected) (eV/atom): -0.750
E_tot (eV per atom): -6.327
Space group: Cmc2_1


Computed, not measured: a relaxed Rb2CeCuO4 crystal at the GGA-PBE level of DFT.

The structure in extended XYZ format:
```
16
Lattice="6.3256 0.0000 0.0000 0.0000 6.3256 0.0000 0.0000 0.0000 7.5906" Properties=species:S:1:pos:R:3 pbc="T T T"
Rb 0.0000 0.0000 0.0000
Rb 0.0000 3.1628 1.8976
Rb 3.1628 0.0000 5.6929
Rb 3.1628 3.1628 3.7953
Ce 0.0000 3.1628 5.6929
Ce 3.1628 0.0000 1.8976
Cu 0.0000 0.0000 3.7953
Cu 3.1628 3.1628 0.0000
O 0.8695 4.6901 4.4857
O 1.5273 2.2932 6.9002
O 1.6355 0.8695 3.1049
O 2.2932 4.7982 0.6904
O 4.0323 1.5273 0.6904
O 4.6901 5.4560 3.1049
O 4.7982 4.0323 6.9002
O 5.4560 1.6355 4.4857
```

Calculated values
M_tot (μB/cell): 1.97
Theoretical density (Mg/m³): 4.8
E_form (uncorrected) (eV/atom): -1.798
E_tot (eV per atom): -5.773
Space group: I-4


Computed, not measured: a relaxed Ba8Pb2N crystal at the GGA-PBE level of DFT.

The structure in extended XYZ format:
```
11
Lattice="10.4441 -3.1910 0.0000 10.4441 3.1910 0.0000 -2.5828 0.0000 6.9905" Properties=species:S:1:pos:R:3 pbc="T T T"
Ba -0.3422 0.0000 1.9004
Ba 2.6695 0.0000 5.3478
Ba 6.4202 0.0000 4.0710
Ba 8.2671 0.0000 1.0216
Ba 10.0384 0.0000 5.9689
Ba 11.8853 0.0000 2.9194
Ba 15.6360 0.0000 1.6427
Ba 18.6477 0.0000 5.0900
Pb 3.1869 0.0000 1.4531
Pb 15.1187 0.0000 5.5374
N 9.1528 0.0000 3.4952
```

Calculated values
M_tot (μB/cell): 0.00
Theoretical density (Mg/m³): 5.4
E_form (uncorrected) (eV/atom): -0.212
E_tot (eV per atom): -3.041
Space group: C2/m